# 1
VASP calculation (GGA-PBEsol) on a geometry-optimized KCd2Tc structure.

Output
Energy of formation from the pure elements = 0.650 eV/atom
Polymorph energy (0 for the lowest one) = 106 meV/atom

CIF file:
```
data_KCd2Tc
_chemical_formula_sum 'K2 Cd4 Tc2'
_symmetry_space_group_name_H-M 'C m m m'
_symmetry_Int_Tables_number 65
_symmetry_space_group_name_Hall '-C 2 2'
_cell_length_a 7.426
_cell_length_b 7.478
_cell_length_c 2.868
_cell_angle_alpha 90.00
_cell_angle_beta 90.00
_cell_angle_gamma 90.00
loop_
_atom_site_label
_atom_site_fract_x
_atom_site_fract_y
_atom_site_fract_z
K1 0.000 0.000 0.000
Cd1 0.250 0.250 0.500
Tc1 0.000 0.500 0.000
```

=====

# 2
VASP calculation (GGA-PBEsol) on a geometry-optimized SrTa2CoRu structure.

Output
Energy of formation from the pure elements = 1.025 eV/atom

CIF file:
```
data_SrTa2CoRu
_chemical_formula_sum 'Sr1 Ta2 Co1 Ru1'
_symmetry_space_group_name_H-M 'P 4/m m m'
_symmetry_Int_Tables_number 123
_symmetry_space_group_name_Hall '-P 4 2'
_cell_length_a 4.752
_cell_length_b 4.752
_cell_length_c 4.832
_cell_angle_alpha 90.00
_cell_angle_beta 90.00
_cell_angle_gamma 90.00
loop_
_atom_site_label
_atom_site_fract_x
_atom_site_fract_y
_atom_site_fract_z
Sr1 0.000 0.000 0.000
Ta1 0.000 0.500 0.500
Co1 0.500 0.500 0.000
Ru1 0.500 0.500 0.500
```

=====

# 3
VASP calculation (GGA-PBEsol) on a geometry-optimized K3Al4P2O8F9 structure.

Output
ΔE_f (raw) = -3.052 eV per atom

CIF file:
```
data_K3Al4P2O8F9
_chemical_formula_sum 'K6 Al8 P4 O16 F18'
_symmetry_space_group_name_H-M 'P 1 21/m 1'
_symmetry_Int_Tables_number 11
_cell_length_a 6.745
_cell_length_b 13.907
_cell_length_c 7.289
_cell_angle_alpha 90.00
_cell_angle_beta 105.97
_cell_angle_gamma 90.00
loop_
_symmetry_equiv_pos_as_xyz
'x,y,z'
'-x,-y,-z'
'-x,y+1/2,-z'
'x,-y+1/2,z'
loop_
_atom_site_label
_atom_site_fract_x
_atom_site_fract_y
_atom_site_fract_z
K1 0.077 0.250 0.041
K2 0.184 0.513 0.290
Al1 0.027 0.250 0.552
Al2 0.327 0.622 0.818
Al3 0.483 0.750 0.462
P1 0.347 0.102 0.785
O1 0.137 0.154 0.725
O2 0.313 0.502 0.708
O3 0.423 0.103 0.004
O4 0.497 0.650 0.304
F1 0.090 0.656 0.621
F2 0.153 0.592 0.954
F3 0.204 0.750 0.366
F4 0.235 0.250 0.435
F5 0.322 0.750 0.892
F6 0.472 0.661 0.647
```

=====

# 4
VASP calculation (GGA-PBEsol) on a geometry-optimized SrBeCu2 structure.

Output
Energy of formation from the pure elements = 0.299 eV/atom

CIF file:
```
data_SrBeCu2
_chemical_formula_sum 'Sr1 Be1 Cu2'
_symmetry_space_group_name_H-M 'P 1 2/m 1'
_symmetry_Int_Tables_number 10
_cell_length_a 3.287
_cell_length_b 3.731
_cell_length_c 5.936
_cell_angle_alpha 90.00
_cell_angle_beta 102.76
_cell_angle_gamma 90.00
loop_
_symmetry_equiv_pos_as_xyz
'x,y,z'
'-x,-y,-z'
'-x,y,-z'
'x,-y,z'
loop_
_atom_site_label
_atom_site_fract_x
_atom_site_fract_y
_atom_site_fract_z
Sr1 0.000 0.000 0.000
Be1 0.500 0.000 0.500
Cu1 0.308 0.500 0.651
```

=====

# 5
VASP calculation (GGA-PBEsol) on a geometry-optimized CdP2Au structure.

Output
Energy of formation from the pure elements = -0.067 eV/atom

CIF file:
```
data_CdP2Au
_chemical_formula_sum 'Cd2 P4 Au2'
_symmetry_space_group_name_H-M 'C 1 2/m 1'
_symmetry_Int_Tables_number 12
_cell_length_a 10.763
_cell_length_b 3.240
_cell_length_c 4.735
_cell_angle_alpha 90.00
_cell_angle_beta 109.76
_cell_angle_gamma 90.00
loop_
_symmetry_equiv_pos_as_xyz
'x,y,z'
'-x,-y,-z'
'-x,y,-z'
'x,-y,z'
'x+1/2,y+1/2,z'
'-x+1/2,-y+1/2,-z'
'-x+1/2,y+1/2,-z'
'x+1/2,-y+1/2,z'
loop_
_atom_site_label
_atom_site_fract_x
_atom_site_fract_y
_atom_site_fract_z
Cd1 0.000 0.000 0.000
P1 0.237 0.500 0.646
Au1 0.000 0.500 0.500
```

=====

# 6
VASP calculation (GGA-PBEsol) on a geometry-optimized Tl2PO3 structure.

Output
ΔE_f (raw) = -1.480 eV per atom

CIF file:
```
data_Tl2PO3
_chemical_formula_sum 'Tl16 P8 O24'
_symmetry_space_group_name_H-M 'P b c a'
_symmetry_Int_Tables_number 61
_cell_length_a 5.408
_cell_length_b 13.061
_cell_length_c 12.370
_cell_angle_alpha 90.00
_cell_angle_beta 90.00
_cell_angle_gamma 90.00
loop_
_symmetry_equiv_pos_as_xyz
'x,y,z'
'-x,-y,-z'
'-x+1/2,-y,z+1/2'
'x+1/2,y,-z+1/2'
'x+1/2,-y+1/2,-z'
'-x+1/2,y+1/2,z'
'-x,y+1/2,-z+1/2'
'x,-y+1/2,z+1/2'
loop_
_atom_site_label
_atom_site_fract_x
_atom_site_fract_y
_atom_site_fract_z
Tl1 0.001 0.077 0.151
Tl2 0.063 0.719 0.644
P1 0.022 0.565 0.944
O1 0.095 0.035 0.664
O2 0.109 0.159 0.506
O3 0.193 0.080 0.939
```

=====

Number 1: uncorrected energy -3.0481 eV/atom. Number 2: uncorrected energy -7.9456 eV/atom. Number 3: uncorrected energy -6.5398 eV/atom. Number 4: uncorrected energy -3.3281 eV/atom. Number 5: uncorrected energy -4.2429 eV/atom. Number 6: uncorrected energy -5.9471 eV/atom.